TaZn2Ni9: relaxed, GGA-PBE. Values from VASP.

Structure (Quantum ESPRESSO input):
```
&SYSTEM
  ibrav = 0, nat = 12, ntyp = 3
/
ATOMIC_SPECIES
Ta 180.95 Ta.upf
Zn 65.41 Zn.upf
Ni 58.69 Ni.upf
CELL_PARAMETERS angstrom
3.6193 0.0000 0.0000
0.0000 3.6193 0.0000
0.0000 0.0000 10.7778
ATOMIC_POSITIONS crystal
Ta 0.0000 0.0000 0.0000
Zn 0.0000 0.0000 0.3374
Zn 0.0000 0.0000 0.6626
Ni 0.0000 0.5000 0.1700
Ni 0.0000 0.5000 0.5000
Ni 0.0000 0.5000 0.8300
Ni 0.5000 0.0000 0.1700
Ni 0.5000 0.0000 0.5000
Ni 0.5000 0.0000 0.8300
Ni 0.5000 0.5000 0.0000
Ni 0.5000 0.5000 0.3350
Ni 0.5000 0.5000 0.6650
```

Calculated density   9880 kg/m³
E_tot   -5.757 eV/atom
DOS(E_F)   11.6 states/eV/cell
Formation energy   -0.22 eV per atom

=====

TaZnNi2: relaxed, GGA-PBE. Values from VASP.

Structure (Quantum ESPRESSO input):
```
&SYSTEM
  ibrav = 0, nat = 4, ntyp = 3
/
ATOMIC_SPECIES
Ta 180.95 Ta.upf
Zn 65.41 Zn.upf
Ni 58.69 Ni.upf
CELL_PARAMETERS angstrom
-1.8691 1.8691 3.8159
1.8691 -1.8691 3.8159
1.8691 1.8691 -3.8159
ATOMIC_POSITIONS crystal
Ta 0.0000 0.0000 0.0000
Zn 0.7500 0.2500 0.5000
Ni 0.2500 0.7500 0.5000
Ni 0.5000 0.5000 0.0000
```

Calculated density   11327 kg/m³
E_tot   -6.296 eV/atom
DOS(E_F)   2.7 states/eV/cell
Formation energy   -0.12 eV per atom

=====

Ta2ZnNi: relaxed, GGA-PBE. Values from VASP.

Structure (Quantum ESPRESSO input):
```
&SYSTEM
  ibrav = 0, nat = 4, ntyp = 3
/
ATOMIC_SPECIES
Ta 180.95 Ta.upf
Zn 65.41 Zn.upf
Ni 58.69 Ni.upf
CELL_PARAMETERS angstrom
2.7644 0.0000 0.0000
0.0000 4.4532 0.0000
-0.5437 0.0000 4.9689
ATOMIC_POSITIONS crystal
Ta 0.0000 0.0000 0.0000
Ta 0.2036 0.5000 0.6637
Zn 0.5860 0.5000 0.1832
Ni 0.5931 0.0000 0.4786
```

Calculated density   13193 kg/m³
E_tot   -7.707 eV/atom
DOS(E_F)   4.0 states/eV/cell
Formation energy   -0.02 eV per atom